No. 1
First-principles (PBE) data for TlHg4Te2 after structural relaxation, as listed in Alexandria via LeMat-Bulk.

Values from the calculation:
Total energy   -1.47 eV per atom
Energy relative to the elements, uncorrected   -0.058 eV/atom
DOS(E_F)   2.232 states/eV per cell
Polymorph energy (0 for the lowest one)   0.000 eV per atom

Lattice parameters (Å, degrees): 4.672 4.672 12.677 104.45 104.45 57.18
Fractional coordinates of all 7 atoms:
Tl (0.000, 0.000, 0.000)
Hg (0.138, 0.138, 0.435)
Hg (0.465, 0.465, 0.281)
Hg (0.535, 0.535, 0.719)
Hg (0.862, 0.862, 0.565)
Te (0.253, 0.253, 0.827)
Te (0.747, 0.747, 0.173)

No. 2
First-principles (PBE) data for TlHg3Te after structural relaxation, as listed in Alexandria via LeMat-Bulk.

Values from the calculation:
Total energy   -1.36 eV per atom
Energy relative to the elements, uncorrected   -0.077 eV/atom
DOS(E_F)   6.693 states/eV per cell
Polymorph energy (0 for the lowest one)   0.000 eV per atom

Lattice parameters (Å, degrees): 10.200 10.200 7.897 104.55 104.55 54.44
Fractional coordinates of all 20 atoms:
Tl (0.021, 0.774, 0.844)
Tl (0.226, 0.979, 0.656)
Tl (0.774, 0.021, 0.344)
Tl (0.979, 0.226, 0.156)
Hg (0.058, 0.362, 0.607)
Hg (0.198, 0.403, 0.998)
Hg (0.287, 0.529, 0.366)
Hg (0.362, 0.058, 0.107)
Hg (0.403, 0.198, 0.498)
Hg (0.471, 0.713, 0.134)
Hg (0.529, 0.287, 0.866)
Hg (0.597, 0.802, 0.502)
Hg (0.638, 0.942, 0.893)
Hg (0.713, 0.471, 0.634)
Hg (0.802, 0.597, 0.002)
Hg (0.942, 0.638, 0.393)
Te (0.131, 0.869, 0.250)
Te (0.378, 0.622, 0.750)
Te (0.622, 0.378, 0.250)
Te (0.869, 0.131, 0.750)

No. 3
First-principles (PBE) data for TlHg2Te after structural relaxation, as listed in Alexandria via LeMat-Bulk.

Values from the calculation:
Total energy   -1.45 eV per atom
Energy relative to the elements, uncorrected   0.074 eV/atom
DOS(E_F)   2.818 states/eV per cell
Polymorph energy (0 for the lowest one)   0.137 eV per atom

Lattice parameters (Å, degrees): 12.175 12.175 12.175 15.84 15.84 15.84
Fractional coordinates of all 4 atoms:
Tl (0.000, 0.000, 0.000)
Hg (0.253, 0.253, 0.253)
Hg (0.747, 0.747, 0.747)
Te (0.500, 0.500, 0.500)